(1)
Nb2CoAgH after structural relaxation, computed with PBE.

Geometry as CIF:
```
data_Nb2CoAgH
_chemical_formula_sum 'Nb2 Co1 Ag1 H1'
_symmetry_space_group_name_H-M 'P 4/m m m'
_symmetry_Int_Tables_number 123
_symmetry_space_group_name_Hall '-P 4 2'
_cell_length_a 4.0764
_cell_length_b 4.0764
_cell_length_c 3.9930
_cell_angle_alpha 90.00
_cell_angle_beta 90.00
_cell_angle_gamma 90.00
loop_
_atom_site_label
_atom_site_type_symbol
_atom_site_fract_x
_atom_site_fract_y
_atom_site_fract_z
_atom_site_occupancy
Nb1 Nb 0.0000 0.5000 0.0000 1
Co1 Co 0.0000 0.0000 0.5000 1
Ag1 Ag 0.5000 0.5000 0.5000 1
H1 H 0.0000 0.0000 0.0000 1
```

Computed properties:
Crystal system   tetragonal
N(E_F)   0.731 states/eV per atom
Final energy   -6.594 eV/atom



(2)
CoNi2AgH after structural relaxation, computed with PBE.

Geometry as CIF:
```
data_CoNi2AgH
_chemical_formula_sum 'Co1 Ni2 Ag1 H1'
_symmetry_space_group_name_H-M 'P 4/m m m'
_symmetry_Int_Tables_number 123
_symmetry_space_group_name_Hall '-P 4 2'
_cell_length_a 3.7473
_cell_length_b 3.7473
_cell_length_c 3.7225
_cell_angle_alpha 90.00
_cell_angle_beta 90.00
_cell_angle_gamma 90.00
loop_
_atom_site_label
_atom_site_type_symbol
_atom_site_fract_x
_atom_site_fract_y
_atom_site_fract_z
_atom_site_occupancy
Co1 Co 0.0000 0.0000 0.0000 1
Ni1 Ni 0.0000 0.5000 0.5000 1
Ag1 Ag 0.5000 0.5000 0.0000 1
H1 H 0.0000 0.0000 0.5000 1
```

Computed properties:
Crystal system   tetragonal
N(E_F)   1.139 states/eV per atom
Final energy   -4.775 eV/atom



(3)
Co2NiAgH after structural relaxation, computed with PBE.

Geometry as CIF:
```
data_Co2NiAgH
_chemical_formula_sum 'Co2 Ni1 Ag1 H1'
_symmetry_space_group_name_H-M 'P 4/m m m'
_symmetry_Int_Tables_number 123
_symmetry_space_group_name_Hall '-P 4 2'
_cell_length_a 3.7120
_cell_length_b 3.7120
_cell_length_c 3.7981
_cell_angle_alpha 90.00
_cell_angle_beta 90.00
_cell_angle_gamma 90.00
loop_
_atom_site_label
_atom_site_type_symbol
_atom_site_fract_x
_atom_site_fract_y
_atom_site_fract_z
_atom_site_occupancy
Co1 Co 0.0000 0.5000 0.0000 1
Ni1 Ni 0.0000 0.0000 0.5000 1
Ag1 Ag 0.5000 0.5000 0.5000 1
H1 H 0.0000 0.0000 0.0000 1
```

Computed properties:
Crystal system   tetragonal
N(E_F)   1.195 states/eV per atom
Final energy   -5.000 eV/atom



(4)
CoAgHPd2 after structural relaxation, computed with PBE.

Geometry as CIF:
```
data_CoAgHPd2
_chemical_formula_sum 'Co1 Ag1 H1 Pd2'
_symmetry_space_group_name_H-M 'P 4/m m m'
_symmetry_Int_Tables_number 123
_symmetry_space_group_name_Hall '-P 4 2'
_cell_length_a 3.9796
_cell_length_b 3.9796
_cell_length_c 4.0223
_cell_angle_alpha 90.00
_cell_angle_beta 90.00
_cell_angle_gamma 90.00
loop_
_atom_site_label
_atom_site_type_symbol
_atom_site_fract_x
_atom_site_fract_y
_atom_site_fract_z
_atom_site_occupancy
Co1 Co 0.0000 0.0000 0.0000 1
Ag1 Ag 0.5000 0.5000 0.0000 1
H1 H 0.5000 0.5000 0.5000 1
Pd1 Pd 0.0000 0.5000 0.5000 1
```

Computed properties:
Crystal system   tetragonal
N(E_F)   1.083 states/eV per atom
Final energy   -4.557 eV/atom



(5)
CoAgHPd2 after structural relaxation, computed with PBE.

Geometry as CIF:
```
data_CoAgHPd2
_chemical_formula_sum 'Co1 Ag1 H1 Pd2'
_symmetry_space_group_name_H-M 'P 4/m m m'
_symmetry_Int_Tables_number 123
_symmetry_space_group_name_Hall '-P 4 2'
_cell_length_a 4.0417
_cell_length_b 4.0417
_cell_length_c 3.8203
_cell_angle_alpha 90.00
_cell_angle_beta 90.00
_cell_angle_gamma 90.00
loop_
_atom_site_label
_atom_site_type_symbol
_atom_site_fract_x
_atom_site_fract_y
_atom_site_fract_z
_atom_site_occupancy
Co1 Co 0.0000 0.0000 0.0000 1
Ag1 Ag 0.5000 0.5000 0.0000 1
H1 H 0.0000 0.0000 0.5000 1
Pd1 Pd 0.0000 0.5000 0.5000 1
```

Computed properties:
Crystal system   tetragonal
N(E_F)   0.928 states/eV per atom
Final energy   -4.641 eV/atom



(6)
PmCoAgH6 after structural relaxation, computed with PBE.

Geometry as CIF:
```
data_PmCoAgH6
_chemical_formula_sum 'Pm1 Co1 Ag1 H6'
_symmetry_space_group_name_H-M 'P -6 m 2'
_symmetry_Int_Tables_number 187
_symmetry_space_group_name_Hall 'P -6 2'
_cell_length_a 4.6320
_cell_length_b 4.6320
_cell_length_c 4.2613
_cell_angle_alpha 90.00
_cell_angle_beta 90.00
_cell_angle_gamma 120.00
loop_
_atom_site_label
_atom_site_type_symbol
_atom_site_fract_x
_atom_site_fract_y
_atom_site_fract_z
_atom_site_occupancy
Pm1 Pm 0.0000 0.0000 0.0000 1
Co1 Co 0.3333 0.6667 0.5000 1
Ag1 Ag 0.6667 0.3333 0.5000 1
H1 H 0.0538 0.5269 0.2346 1
```

Computed properties:
Crystal system   hexagonal
N(E_F)   0.195 states/eV per atom
Final energy   -4.072 eV/atom